Entry from Alexandria: a relaxed structure of CdAgW3 (PBE).

POSCAR file:
```
CdAgW3
1.0
4.809 0.000 0.000
0.000 4.809 0.000
0.000 0.000 4.809
Ag W Cd
1 3 1
Direct
0.000 0.000 0.000
0.000 0.500 0.000
0.000 0.000 0.500
0.500 0.000 0.000
0.500 0.500 0.500
```

Size of the total moment = 0.00 μB/atom
Space-group type = Pm-3m, No. 221
E_form = 2.721 eV/atom
Calculated volume = 22.2 A^3/atom
Final energy = -5.8040 eV/atom